Compound: Li2Fe2Si2O7
Source: Alexandria
Functional: GGA+U
Structure: optimized geometry Values from VASP.

Density of states at the Fermi level, states/eV per cell: 0.00
Crystal system: triclinic
Uncorrected energy, Ry per atom: -0.50725
Total magnetic moment, μB per atom: 0.6154
Symmetry: P-1
Energy above the lowest structure with this stoichiometry, kcal/mol of atoms: 0.00

Cell and atoms, written as Quantum ESPRESSO input:
```
&SYSTEM
  ibrav = 0, nat = 13, ntyp = 4
/
ATOMIC_SPECIES
Li 6.94 Li.upf
Fe 55.84 Fe.upf
Si 28.09 Si.upf
O 16.00 O.upf
CELL_PARAMETERS angstrom
5.372 0.000 0.000
2.662 4.741 0.000
1.380 2.163 6.757
ATOMIC_POSITIONS crystal
Li 0.176 0.420 0.351
Li 0.824 0.580 0.649
Fe 0.200 0.892 0.665
Fe 0.800 0.108 0.335
Si 0.499 0.186 0.766
Si 0.501 0.814 0.234
O 0.210 0.257 0.665
O 0.217 0.029 0.343
O 0.492 0.510 0.258
O 0.500 0.000 0.000
O 0.508 0.490 0.742
O 0.783 0.971 0.657
O 0.790 0.743 0.335
```